[1]
Here is crystalline Sm4CdCo at its relaxed geometry from the Alexandria database. Energies are from GGA-PBE.

a = 9.6896 Å, b = 9.6896 Å, c = 9.6896 Å
α = 60.00°, β = 60.00°, γ = 60.00°
Closest atoms and distances in Å follow each position.
Sites, in units of the cell vectors:
Cd (0.1701, 0.4898, 0.1701)  3 Cd 3.10, 3 Sm 3.31
Co (0.1731, 0.6090, 0.6090)  6 Sm 2.81-2.83
Cd (0.1701, 0.1701, 0.4898)  3 Cd 3.10, 3 Sm 3.31
Sm (0.4032, 0.4032, 0.4032)  3 Co 2.83
Sm (0.8113, 0.1887, 0.1887)  2 Cd 3.31, 2 Co 3.48, 10 Sm 3.49-3.66
Sm (0.5612, 0.9388, 0.9388)  2 Co 2.81
Sm (0.1887, 0.8113, 0.8113)  2 Cd 3.31, 2 Co 3.48, 10 Sm 3.49-3.66
Sm (0.5612, 0.9388, 0.5612)  2 Co 2.81
Sm (0.7904, 0.4032, 0.4032)  3 Co 2.83
Sm (0.8113, 0.1887, 0.8113)  2 Cd 3.31, 2 Co 3.48, 10 Sm 3.49-3.66
Co (0.6090, 0.1731, 0.6090)  6 Sm 2.81-2.83
Sm (0.9388, 0.5612, 0.9388)  2 Co 2.81
Cd (0.1701, 0.1701, 0.1701)  3 Cd 3.10, 3 Sm 3.31
Sm (0.5612, 0.5612, 0.9388)  2 Co 2.81
Sm (0.9388, 0.9388, 0.5612)  2 Co 2.81
Sm (0.4032, 0.7904, 0.4032)  3 Co 2.83
Co (0.6090, 0.6090, 0.1731)  6 Sm 2.81-2.83
Sm (0.1887, 0.1887, 0.8113)  2 Cd 3.31, 2 Co 3.48, 10 Sm 3.49-3.66
Cd (0.4898, 0.1701, 0.1701)  3 Cd 3.10, 3 Sm 3.31
Sm (0.9388, 0.5612, 0.5612)  2 Co 2.81
Co (0.6090, 0.6090, 0.6090)  6 Sm 2.81-2.83
Sm (0.1887, 0.8113, 0.1887)  2 Cd 3.31, 2 Co 3.48, 10 Sm 3.49-3.66
Sm (0.8113, 0.8113, 0.1887)  2 Cd 3.31, 2 Co 3.48, 10 Sm 3.49-3.66
Sm (0.4032, 0.4032, 0.7904)  3 Co 2.83

Calculated values
ΔE_f   -0.21 eV/atom
Total magnetization   0.0000 μB/atom

---

[2]
Here is crystalline SrPrCdSn at its relaxed geometry from the Alexandria database. Energies are from GGA-PBE.

a = 5.5934 Å, b = 5.5934 Å, c = 5.5934 Å
α = 60.00°, β = 60.00°, γ = 60.00°
Closest atoms and distances in Å follow each position.
Sites, in units of the cell vectors:
Sr (0.5000, 0.5000, 0.5000)  4 Sn 3.43, 4 Cd 3.43
Cd (0.7500, 0.7500, 0.7500)  4 Sr 3.43, 4 Pr 3.43
Pr (0.0000, 0.0000, 0.0000)  4 Cd 3.43, 4 Sn 3.43
Sn (0.2500, 0.2500, 0.2500)  4 Pr 3.43, 4 Sr 3.43

Calculated values
ΔE_f   -0.48 eV/atom
Total magnetization   0.0001 μB/atom

---

What is the total magnetization in the first record? 0.0000 μB/atom

---

Which formula does entry 1 have? Sm4CdCo